DFT (meta-GGA SCAN) results for a crystal of RbHf2Ag relaxed with PBEsol.

The structure in POSCAR format:
```
RbHf2Ag
1.0
0.000 3.495 3.495
3.495 0.000 3.495
3.495 3.495 0.000
Rb Hf Ag
1 2 1
Direct
0.000 0.000 0.000
0.250 0.250 0.250
0.750 0.750 0.750
0.500 0.500 0.500
```

Values from the calculation:
Electronic total energy: -172.841 eV/f.u.
Spin magnetization: 0.0 μB/f.u.
DOS(E_F): 4.23 states/eV/cell
ρ: 10.7 Mg/m³